# GGA-PBE LiAcZnAg2, relaxed
data_LiAcZnAg2
_chemical_formula_sum 'Li1 Ac1 Zn1 Ag2'
_symmetry_space_group_name_H-M 'P 1'
_symmetry_Int_Tables_number 1
_cell_length_a 4.4702
_cell_length_b 4.4702
_cell_length_c 6.5308
_cell_angle_alpha 110.01
_cell_angle_beta 110.01
_cell_angle_gamma 90.00
loop_
_symmetry_equiv_pos_as_xyz
'x,y,z'
loop_
_atom_site_label
_atom_site_fract_x
_atom_site_fract_y
_atom_site_fract_z
Ag1 0.6225 0.6225 0.2449
Ag2 0.3775 0.3775 0.7551
Zn1 0.2500 0.7500 0.5000
Ac1 0.0000 0.0000 0.0000
Li1 0.7500 0.2500 0.5000
# **Space-group type**: No. 119
# **ΔH_f (0 K)**: -0.241 eV/atom
# **Final energy**: -0.1044 Ha/atom

***

# GGA-PBE Ac2LuAg, relaxed
data_Ac2LuAg
_chemical_formula_sum 'Ac2 Lu1 Ag1'
_symmetry_space_group_name_H-M 'P 1'
_symmetry_Int_Tables_number 1
_cell_length_a 3.7506
_cell_length_b 3.7506
_cell_length_c 12.3475
_cell_angle_alpha 81.26
_cell_angle_beta 81.26
_cell_angle_gamma 60.00
loop_
_symmetry_equiv_pos_as_xyz
'x,y,z'
loop_
_atom_site_label
_atom_site_fract_x
_atom_site_fract_y
_atom_site_fract_z
Lu1 0.5000 0.5000 0.5000
Ag1 0.0000 0.0000 0.0000
Ac1 0.0860 0.0860 0.7419
Ac2 0.9140 0.9140 0.2581
# **Space-group type**: No. 166
# **Excess energy over the best structure of this formula in the dataset**: 392.2 meV/atom
# **ΔH_f (0 K)**: 0.322 eV/atom
# **Final energy**: -0.1314 Ha/atom

***

# GGA-PBE Ac2LuAg, relaxed
data_Ac2LuAg
_chemical_formula_sum 'Ac2 Lu1 Ag1'
_symmetry_space_group_name_H-M 'P 1'
_symmetry_Int_Tables_number 1
_cell_length_a 5.7541
_cell_length_b 5.7541
_cell_length_c 5.7541
_cell_angle_alpha 60.00
_cell_angle_beta 60.00
_cell_angle_gamma 60.00
loop_
_symmetry_equiv_pos_as_xyz
'x,y,z'
loop_
_atom_site_label
_atom_site_fract_x
_atom_site_fract_y
_atom_site_fract_z
Ag1 0.5000 0.5000 0.5000
Lu1 0.0000 0.0000 0.0000
Ac1 0.2500 0.2500 0.2500
Ac2 0.7500 0.7500 0.7500
# **Space-group type**: No. 225
# **Excess energy over the best structure of this formula in the dataset**: 125.1 meV/atom
# **ΔH_f (0 K)**: 0.055 eV/atom
# **Final energy**: -0.1412 Ha/atom

***

# GGA-PBE Ac2LuAg, relaxed
data_Ac2LuAg
_chemical_formula_sum 'Ac2 Lu1 Ag1'
_symmetry_space_group_name_H-M 'P 1'
_symmetry_Int_Tables_number 1
_cell_length_a 3.9803
_cell_length_b 3.9803
_cell_length_c 8.6614
_cell_angle_alpha 90.00
_cell_angle_beta 90.00
_cell_angle_gamma 90.00
loop_
_symmetry_equiv_pos_as_xyz
'x,y,z'
loop_
_atom_site_label
_atom_site_fract_x
_atom_site_fract_y
_atom_site_fract_z
Ac1 0.0000 0.0000 0.7729
Ac2 0.0000 0.0000 0.2271
Lu1 0.5000 0.5000 0.5000
Ag1 0.5000 0.5000 0.0000
# **Space-group type**: No. 123
# **Excess energy over the best structure of this formula in the dataset**: 0.0 meV/atom
# **ΔH_f (0 K)**: -0.071 eV/atom
# **Final energy**: -0.1458 Ha/atom

***

# GGA-PBE AcLuAgPd, relaxed
data_AcLuAgPd
_chemical_formula_sum 'Ac1 Lu1 Ag1 Pd1'
_symmetry_space_group_name_H-M 'P 1'
_symmetry_Int_Tables_number 1
_cell_length_a 5.2469
_cell_length_b 5.2469
_cell_length_c 5.2469
_cell_angle_alpha 60.00
_cell_angle_beta 60.00
_cell_angle_gamma 60.00
loop_
_symmetry_equiv_pos_as_xyz
'x,y,z'
loop_
_atom_site_label
_atom_site_fract_x
_atom_site_fract_y
_atom_site_fract_z
Ac1 0.5000 0.5000 0.5000
Lu1 0.0000 0.0000 0.0000
Ag1 0.2500 0.2500 0.2500
Pd1 0.7500 0.7500 0.7500
# **Space-group type**: No. 216
# **ΔH_f (0 K)**: -0.481 eV/atom
# **Final energy**: -0.1709 Ha/atom

***

# GGA-PBE AcPmLuAg, relaxed
data_AcPmLuAg
_chemical_formula_sum 'Ac1 Pm1 Lu1 Ag1'
_symmetry_space_group_name_H-M 'P 1'
_symmetry_Int_Tables_number 1
_cell_length_a 5.5784
_cell_length_b 5.5784
_cell_length_c 5.5784
_cell_angle_alpha 60.00
_cell_angle_beta 60.00
_cell_angle_gamma 60.00
loop_
_symmetry_equiv_pos_as_xyz
'x,y,z'
loop_
_atom_site_label
_atom_site_fract_x
_atom_site_fract_y
_atom_site_fract_z
Pm1 0.7500 0.7500 0.7500
Ac1 0.5000 0.5000 0.5000
Lu1 0.2500 0.2500 0.2500
Ag1 0.0000 0.0000 0.0000
# **Space-group type**: No. 216
# **ΔH_f (0 K)**: 0.189 eV/atom
# **Final energy**: -0.1422 Ha/atom

***

# GGA-PBE AcLuAgRh, relaxed
data_AcLuAgRh
_chemical_formula_sum 'Ac1 Lu1 Ag1 Rh1'
_symmetry_space_group_name_H-M 'P 1'
_symmetry_Int_Tables_number 1
_cell_length_a 5.1766
_cell_length_b 5.1766
_cell_length_c 5.1766
_cell_angle_alpha 60.00
_cell_angle_beta 60.00
_cell_angle_gamma 60.00
loop_
_symmetry_equiv_pos_as_xyz
'x,y,z'
loop_
_atom_site_label
_atom_site_fract_x
_atom_site_fract_y
_atom_site_fract_z
Ac1 0.5000 0.5000 0.5000
Lu1 0.0000 0.0000 0.0000
Rh1 0.2500 0.2500 0.2500
Ag1 0.7500 0.7500 0.7500
# **Space-group type**: No. 216
# **ΔH_f (0 K)**: -0.416 eV/atom
# **Final energy**: -0.1883 Ha/atom

***

# GGA-PBE AcLuAgSb, relaxed
data_AcLuAgSb
_chemical_formula_sum 'Ac1 Lu1 Ag1 Sb1'
_symmetry_space_group_name_H-M 'P 1'
_symmetry_Int_Tables_number 1
_cell_length_a 5.4567
_cell_length_b 5.4567
_cell_length_c 5.4567
_cell_angle_alpha 60.00
_cell_angle_beta 60.00
_cell_angle_gamma 60.00
loop_
_symmetry_equiv_pos_as_xyz
'x,y,z'
loop_
_atom_site_label
_atom_site_fract_x
_atom_site_fract_y
_atom_site_fract_z
Sb1 0.7500 0.7500 0.7500
Ac1 0.0000 0.0000 0.0000
Lu1 0.5000 0.5000 0.5000
Ag1 0.2500 0.2500 0.2500
# **Space-group type**: No. 216
# **Formation energy (no corrections)**: -0.437 eV per atom
# **Final energy**: -0.1594 Ha/atom

***

# GGA-PBE AcLuSiAg, relaxed
data_AcLuSiAg
_chemical_formula_sum 'Ac1 Lu1 Si1 Ag1'
_symmetry_space_group_name_H-M 'P 1'
_symmetry_Int_Tables_number 1
_cell_length_a 5.2586
_cell_length_b 5.2586
_cell_length_c 5.2586
_cell_angle_alpha 60.00
_cell_angle_beta 60.00
_cell_angle_gamma 60.00
loop_
_symmetry_equiv_pos_as_xyz
'x,y,z'
loop_
_atom_site_label
_atom_site_fract_x
_atom_site_fract_y
_atom_site_fract_z
Si1 0.7500 0.7500 0.7500
Ac1 0.5000 0.5000 0.5000
Lu1 0.0000 0.0000 0.0000
Ag1 0.2500 0.2500 0.2500
# **Space-group type**: No. 216
# **Formation energy (no corrections)**: -0.301 eV per atom
# **Final energy**: -0.1664 Ha/atom

***

# GGA-PBE AcLuAgSn, relaxed
data_AcLuAgSn
_chemical_formula_sum 'Ac1 Lu1 Ag1 Sn1'
_symmetry_space_group_name_H-M 'P 1'
_symmetry_Int_Tables_number 1
_cell_length_a 5.4499
_cell_length_b 5.4499
_cell_length_c 5.4499
_cell_angle_alpha 60.00
_cell_angle_beta 60.00
_cell_angle_gamma 60.00
loop_
_symmetry_equiv_pos_as_xyz
'x,y,z'
loop_
_atom_site_label
_atom_site_fract_x
_atom_site_fract_y
_atom_site_fract_z
Lu1 0.0000 0.0000 0.0000
Ac1 0.5000 0.5000 0.5000
Ag1 0.7500 0.7500 0.7500
Sn1 0.2500 0.2500 0.2500
# **Space-group type**: No. 216
# **ΔH_f (0 K)**: -0.402 eV/atom
# **Final energy**: -0.1570 Ha/atom

***

# GGA-PBE AcTmLuAg, relaxed
data_AcTmLuAg
_chemical_formula_sum 'Ac1 Tm1 Lu1 Ag1'
_symmetry_space_group_name_H-M 'P 1'
_symmetry_Int_Tables_number 1
_cell_length_a 5.5020
_cell_length_b 5.5020
_cell_length_c 5.5020
_cell_angle_alpha 60.00
_cell_angle_beta 60.00
_cell_angle_gamma 60.00
loop_
_symmetry_equiv_pos_as_xyz
'x,y,z'
loop_
_atom_site_label
_atom_site_fract_x
_atom_site_fract_y
_atom_site_fract_z
Ac1 0.7500 0.7500 0.7500
Lu1 0.0000 0.0000 0.0000
Tm1 0.5000 0.5000 0.5000
Ag1 0.2500 0.2500 0.2500
# **Space-group type**: No. 216
# **ΔH_f (0 K)**: 0.202 eV/atom
# **Final energy**: -0.1391 Ha/atom

***

# GGA-PBE AcLuZnAg, relaxed
data_AcLuZnAg
_chemical_formula_sum 'Ac1 Lu1 Zn1 Ag1'
_symmetry_space_group_name_H-M 'P 1'
_symmetry_Int_Tables_number 1
_cell_length_a 5.3111
_cell_length_b 5.3111
_cell_length_c 5.3111
_cell_angle_alpha 60.00
_cell_angle_beta 60.00
_cell_angle_gamma 60.00
loop_
_symmetry_equiv_pos_as_xyz
'x,y,z'
loop_
_atom_site_label
_atom_site_fract_x
_atom_site_fract_y
_atom_site_fract_z
Zn1 0.2500 0.2500 0.2500
Lu1 0.5000 0.5000 0.5000
Ac1 0.0000 0.0000 0.0000
Ag1 0.7500 0.7500 0.7500
# **Space-group type**: No. 216
# **ΔH_f (0 K)**: -0.227 eV/atom
# **Final energy**: -0.1255 Ha/atom